# PBE LiIn4Ag4, optimized geometry
data_LiIn4Ag4
_cell_length_a 5.9121
_cell_length_b 9.3804
_cell_length_c 15.5425
_cell_angle_alpha 90.00
_cell_angle_beta 90.00
_cell_angle_gamma 90.00
_symmetry_space_group_name_H-M 'F m m 2'
_symmetry_Int_Tables_number 42
_symmetry_space_group_name_Hall 'F 2 -2'
loop_
_atom_site_label
_atom_site_fract_x
_atom_site_fract_y
_atom_site_fract_z
_atom_site_occupancy
Li1 0.0000 0.0000 0.0000 1
In1 0.0000 0.2404 0.4006 1
In2 0.2489 0.0000 0.6636 1
Ag1 0.0000 0.2471 0.5917 1
Ag2 0.2464 0.0000 0.8447 1
# M_tot: 0.00 μB per cell
# calculated formation energy: 0.071 eV/atom
# relative energy among the computed polymorphs: 114 meV/atom
# calculated total energy: -2.626 eV per atom